No. 1
Material: CeSmRh3
Method: DFT, PBE
State: relaxed

Lattice parameters (Å, degrees): 6.0288 7.6981 8.8292 90.00 90.00 90.00
Space group Imma (No. 74)
Unique sites:
Ce1 0.0000 0.0000 0.0000 x4
Sm1 0.0000 0.2500 0.4799 x4
Rh1 0.0000 0.2500 0.8046 x4
Rh2 0.2500 0.0558 0.2500 x8

Summary:
DFT total energy (eV per atom): -7.118
V (Å³ per cell): 409.8
Size of the total moment (Bohr magnetons per cell): 0.00
ΔH_f (0 K) (eV/atom): -0.5764

No. 2
Material: CeSm3Rh4
Method: DFT, PBE
State: relaxed

Lattice parameters (Å, degrees): 4.9752 4.9752 23.9545 90.00 90.00 120.00
Space group R-3m (No. 166, hexagonal axes)
Unique sites:
Ce1 0.0000 0.0000 0.0000 x3
Sm1 0.0000 0.0000 0.2486 x6
Sm2 0.0000 0.0000 0.5000 x3
Rh1 0.0000 0.0000 0.1165 x6
Rh2 0.0000 0.0000 0.3726 x6

Summary:
DFT total energy (eV per atom): -6.905
V (Å³ per cell): 513.5
Size of the total moment (Bohr magnetons per cell): 0.22
ΔH_f (0 K) (eV/atom): -0.7178

No. 3
Material: Ce2Sm3Rh4
Method: DFT, PBE
State: relaxed

Lattice parameters (Å, degrees): 14.3357 10.2529 5.8784 90.00 90.87 90.00
Space group C2/c (No. 15)
Unique sites:
Ce1 0.2000 0.1125 0.1583 x8
Sm1 0.0000 0.1193 0.7500 x4
Sm2 0.0951 0.3858 0.4724 x8
Rh1 0.1108 0.3281 0.9822 x8
Rh2 0.2049 0.1447 0.6602 x8

Summary:
DFT total energy (eV per atom): -6.828
V (Å³ per cell): 863.9
Size of the total moment (Bohr magnetons per cell): 0.21
ΔH_f (0 K) (eV/atom): -0.6690

No. 4
Material: CeSm3Rh8
Method: DFT, PBE
State: relaxed

Lattice parameters (Å, degrees): 5.3828 5.3828 26.3335 90.00 90.00 120.00
Space group R3m (No. 160, hexagonal axes)
Unique sites:
Ce1 0.0000 0.0000 0.0000 x3
Sm1 0.0000 0.0000 0.1249 x3
Sm2 0.0000 0.0000 0.4996 x3
Sm3 0.0000 0.0000 0.6246 x3
Rh1 0.0000 0.0000 0.3122 x3
Rh2 0.0000 0.0000 0.8123 x3
Rh3 0.0012 0.5006 0.5628 x9
Rh4 0.1674 0.3349 0.3951 x9

Summary:
DFT total energy (eV per atom): -7.270
V (Å³ per cell): 660.8
Size of the total moment (Bohr magnetons per cell): 0.58
ΔH_f (0 K) (eV/atom): -0.6949